Arrangement A

VASP calculation (PBE) on crystalline MnVTe3 at its relaxed geometry.

a b c (Å): 6.6773 6.6773 7.9897
angles (deg): 106.52 106.52 49.30
Element x y z (fractional)
Mn 0.9999 0.9999 0.2164
Mn 0.0001 0.0001 0.7836
V 0.3499 0.3499 0.4160
V 0.6501 0.6501 0.5840
Te 0.1581 0.1581 0.5499
Te 0.1822 0.1822 0.0872
Te 0.4915 0.4915 0.7565
Te 0.5085 0.5085 0.2435
Te 0.8178 0.8178 0.9128
Te 0.8419 0.8419 0.4501


Arrangement B

VASP calculation (PBE) on crystalline MnVTe3 at its relaxed geometry.

a b c (Å): 5.2605 5.2605 5.2605
angles (deg): 90.00 90.00 90.00
Element x y z (fractional)
Mn 0.0000 0.0000 0.0000
V 0.5000 0.5000 0.5000
Te 0.0000 0.5000 0.5000
Te 0.5000 0.0000 0.5000
Te 0.5000 0.5000 0.0000


arrangement A is the most stable structure; the next one sits 0.638 eV/atom above it.